DFT (GGA-PBE) results for crystalline YBeIn2 at its relaxed geometry.

abc: 4.562 3.464 5.793
angles: 89.93 90.00 90.00
Atoms (fractional coordinates):
1 In 0.500 0.001 0.279
2 In 0.000 0.999 0.973
3 Be 0.500 0.000 0.735
4 Y 0.000 0.500 0.513

## Properties
Size of the total moment, μB/f.u.: 0.0
Energy, eV per atom: -3.921
DOS at the Fermi energy, states/eV/atom: 0.666
SG: Pm, No. 6